Entry 1:
Entry from Alexandria: an optimized crystal structure of Zn6CuPd2 (PBE-GGA).

Structure (CIF):
```
data_Zn6CuPd2
_symmetry_space_group_name_H-M 'P 1'
_symmetry_Int_Tables_number 1
_cell_length_a 6.355
_cell_length_b 6.355
_cell_length_c 9.141
_cell_angle_alpha 121.03
_cell_angle_beta 121.03
_cell_angle_gamma 25.34
loop_
_symmetry_equiv_pos_as_xyz
'x,y,z'
loop_
_atom_site_label
_atom_site_fract_x
_atom_site_fract_y
_atom_site_fract_z
Zn1 0.040 0.040 0.251
Zn2 0.234 0.234 0.608
Zn3 0.377 0.377 0.951
Zn4 0.623 0.623 0.049
Zn5 0.766 0.766 0.392
Zn6 0.960 0.960 0.749
Cu1 0.000 0.000 0.500
Pd1 0.338 0.338 0.206
Pd2 0.662 0.662 0.794
```

Summary:
Energy of formation from the pure elements: -0.20 eV/atom
Energy: -2.657 eV per atom
Crystal system: monoclinic

Entry 2:
Entry from Alexandria: an optimized crystal structure of Zn7CuPd4 (PBE-GGA).

Structure (CIF):
```
data_Zn7CuPd4
_symmetry_space_group_name_H-M 'P 1'
_symmetry_Int_Tables_number 1
_cell_length_a 6.528
_cell_length_b 6.528
_cell_length_c 7.047
_cell_angle_alpha 112.29
_cell_angle_beta 112.29
_cell_angle_gamma 41.34
loop_
_symmetry_equiv_pos_as_xyz
'x,y,z'
loop_
_atom_site_label
_atom_site_fract_x
_atom_site_fract_y
_atom_site_fract_z
Zn1 0.000 0.000 0.000
Zn2 0.064 0.064 0.697
Zn3 0.283 0.283 0.783
Zn4 0.424 0.424 0.586
Zn5 0.576 0.576 0.414
Zn6 0.717 0.717 0.217
Zn7 0.936 0.936 0.303
Cu1 0.500 0.500 0.000
Pd1 0.170 0.170 0.380
Pd2 0.328 0.328 0.167
Pd3 0.672 0.672 0.833
Pd4 0.830 0.830 0.620
```

Summary:
Energy of formation from the pure elements: -0.24 eV/atom
Energy: -3.052 eV per atom
Crystal system: monoclinic

Entry 3:
Entry from Alexandria: an optimized crystal structure of ZnCu3Pd6 (PBE-GGA).

Structure (CIF):
```
data_ZnCu3Pd6
_symmetry_space_group_name_H-M 'P 1'
_symmetry_Int_Tables_number 1
_cell_length_a 7.429
_cell_length_b 4.365
_cell_length_c 9.215
_cell_angle_alpha 90.00
_cell_angle_beta 106.56
_cell_angle_gamma 90.00
loop_
_symmetry_equiv_pos_as_xyz
'x,y,z'
loop_
_atom_site_label
_atom_site_fract_x
_atom_site_fract_y
_atom_site_fract_z
Zn1 0.055 0.250 0.397
Zn2 0.945 0.750 0.603
Cu1 0.245 0.250 0.009
Cu2 0.358 0.750 0.802
Cu3 0.458 0.250 0.605
Cu4 0.542 0.750 0.395
Cu5 0.642 0.250 0.198
Cu6 0.755 0.750 0.991
Pd1 0.063 0.750 0.896
Pd2 0.153 0.750 0.200
Pd3 0.157 0.250 0.699
Pd4 0.249 0.750 0.508
Pd5 0.359 0.250 0.310
Pd6 0.459 0.750 0.096
Pd7 0.541 0.250 0.904
Pd8 0.641 0.750 0.690
Pd9 0.751 0.250 0.492
Pd10 0.843 0.750 0.301
Pd11 0.847 0.250 0.800
Pd12 0.937 0.250 0.104
```

Summary:
Energy of formation from the pure elements: -0.19 eV/atom
Energy: -4.658 eV per atom
Crystal system: monoclinic
Energy above the most stable polymorph in this dataset: 0.0 kJ/mol of atoms

Entry 4:
Entry from Alexandria: an optimized crystal structure of ZnCu5Pd (PBE-GGA).

Structure (CIF):
```
data_ZnCu5Pd
_symmetry_space_group_name_H-M 'P 1'
_symmetry_Int_Tables_number 1
_cell_length_a 4.523
_cell_length_b 5.900
_cell_length_c 6.936
_cell_angle_alpha 90.25
_cell_angle_beta 90.41
_cell_angle_gamma 105.11
loop_
_symmetry_equiv_pos_as_xyz
'x,y,z'
loop_
_atom_site_label
_atom_site_fract_x
_atom_site_fract_y
_atom_site_fract_z
Zn1 0.000 0.000 0.000
Zn2 0.000 0.500 0.500
Cu1 0.137 0.429 0.138
Cu2 0.147 0.937 0.651
Cu3 0.278 0.850 0.278
Cu4 0.292 0.360 0.793
Cu5 0.426 0.786 0.932
Cu6 0.574 0.214 0.068
Cu7 0.708 0.640 0.207
Cu8 0.722 0.150 0.722
Cu9 0.853 0.063 0.349
Cu10 0.863 0.571 0.862
Pd1 0.425 0.276 0.425
Pd2 0.575 0.724 0.575
```

Summary:
Energy of formation from the pure elements: -0.11 eV/atom
Energy: -3.958 eV per atom
Crystal system: triclinic

Entry 5:
Entry from Alexandria: an optimized crystal structure of Zn4Cu7Pd (PBE-GGA).

Structure (CIF):
```
data_Zn4Cu7Pd
_symmetry_space_group_name_H-M 'P 1'
_symmetry_Int_Tables_number 1
_cell_length_a 4.631
_cell_length_b 5.244
_cell_length_c 6.905
_cell_angle_alpha 68.85
_cell_angle_beta 88.34
_cell_angle_gamma 88.72
loop_
_symmetry_equiv_pos_as_xyz
'x,y,z'
loop_
_atom_site_label
_atom_site_fract_x
_atom_site_fract_y
_atom_site_fract_z
Zn1 0.161 0.319 0.330
Zn2 0.328 0.409 0.672
Zn3 0.672 0.591 0.328
Zn4 0.839 0.681 0.670
Cu1 0.003 0.760 0.998
Cu2 0.171 0.828 0.330
Cu3 0.332 0.924 0.663
Cu4 0.500 0.000 0.000
Cu5 0.668 0.076 0.337
Cu6 0.829 0.172 0.670
Cu7 0.997 0.240 0.002
Pd1 0.500 0.500 0.000
```

Summary:
Energy of formation from the pure elements: -0.11 eV/atom
Energy: -3.359 eV per atom
Crystal system: triclinic

Entry 6:
Entry from Alexandria: an optimized crystal structure of Zn6Cu10Pd (PBE-GGA).

Structure (CIF):
```
data_Zn6Cu10Pd
_symmetry_space_group_name_H-M 'P 1'
_symmetry_Int_Tables_number 1
_cell_length_a 7.165
_cell_length_b 7.165
_cell_length_c 5.073
_cell_angle_alpha 90.00
_cell_angle_beta 90.00
_cell_angle_gamma 120.00
loop_
_symmetry_equiv_pos_as_xyz
'x,y,z'
loop_
_atom_site_label
_atom_site_fract_x
_atom_site_fract_y
_atom_site_fract_z
Zn1 0.000 0.348 0.324
Zn2 0.000 0.652 0.676
Zn3 0.348 0.000 0.324
Zn4 0.348 0.348 0.676
Zn5 0.652 0.000 0.676
Zn6 0.652 0.652 0.324
Cu1 0.000 0.312 0.838
Cu2 0.000 0.688 0.162
Cu3 0.312 0.000 0.838
Cu4 0.312 0.312 0.162
Cu5 0.333 0.667 0.000
Cu6 0.333 0.667 0.500
Cu7 0.667 0.333 0.000
Cu8 0.667 0.333 0.500
Cu9 0.688 0.000 0.162
Cu10 0.688 0.688 0.838
Pd1 0.000 0.000 0.500
```

Summary:
Energy of formation from the pure elements: -0.05 eV/atom
Energy: -3.219 eV per atom
Crystal system: trigonal

Entry 7:
Entry from Alexandria: an optimized crystal structure of Zn2Cu3Pd7 (PBE-GGA).

Structure (CIF):
```
data_Zn2Cu3Pd7
_symmetry_space_group_name_H-M 'P 1'
_symmetry_Int_Tables_number 1
_cell_length_a 11.190
_cell_length_b 11.190
_cell_length_c 4.133
_cell_angle_alpha 90.00
_cell_angle_beta 90.00
_cell_angle_gamma 158.26
loop_
_symmetry_equiv_pos_as_xyz
'x,y,z'
loop_
_atom_site_label
_atom_site_fract_x
_atom_site_fract_y
_atom_site_fract_z
Zn1 0.152 0.848 0.000
Zn2 0.848 0.152 0.000
Cu1 0.349 0.651 0.500
Cu2 0.500 0.500 0.500
Cu3 0.651 0.349 0.500
Pd1 0.000 0.000 0.000
Pd2 0.079 0.921 0.500
Pd3 0.284 0.716 0.000
Pd4 0.420 0.580 0.000
Pd5 0.580 0.420 0.000
Pd6 0.716 0.284 0.000
Pd7 0.921 0.079 0.500
```

Summary:
Energy of formation from the pure elements: -0.07 eV/atom
Energy: -4.340 eV per atom
Crystal system: orthorhombic

Entry 8:
Entry from Alexandria: an optimized crystal structure of ZnCu6Pd2 (PBE-GGA).

Structure (CIF):
```
data_ZnCu6Pd2
_symmetry_space_group_name_H-M 'P 1'
_symmetry_Int_Tables_number 1
_cell_length_a 4.540
_cell_length_b 4.540
_cell_length_c 6.575
_cell_angle_alpha 101.26
_cell_angle_beta 101.26
_cell_angle_gamma 66.25
loop_
_symmetry_equiv_pos_as_xyz
'x,y,z'
loop_
_atom_site_label
_atom_site_fract_x
_atom_site_fract_y
_atom_site_fract_z
Zn1 0.000 0.000 0.000
Cu1 0.218 0.704 0.308
Cu2 0.246 0.246 0.496
Cu3 0.296 0.782 0.692
Cu4 0.704 0.218 0.308
Cu5 0.754 0.754 0.504
Cu6 0.782 0.296 0.692
Pd1 0.321 0.321 0.919
Pd2 0.679 0.679 0.081
```

Summary:
Energy of formation from the pure elements: -0.07 eV/atom
Energy: -4.093 eV per atom
Crystal system: monoclinic
Energy above the most stable polymorph in this dataset: 0.8 kJ/mol of atoms

Entry 9:
Entry from Alexandria: an optimized crystal structure of Zn2CuPd2 (PBE-GGA).

Structure (CIF):
```
data_Zn2CuPd2
_symmetry_space_group_name_H-M 'P 1'
_symmetry_Int_Tables_number 1
_cell_length_a 7.243
_cell_length_b 7.243
_cell_length_c 2.892
_cell_angle_alpha 90.00
_cell_angle_beta 90.00
_cell_angle_gamma 90.00
loop_
_symmetry_equiv_pos_as_xyz
'x,y,z'
loop_
_atom_site_label
_atom_site_fract_x
_atom_site_fract_y
_atom_site_fract_z
Zn1 0.158 0.342 0.000
Zn2 0.342 0.842 0.000
Zn3 0.658 0.158 0.000
Zn4 0.842 0.658 0.000
Cu1 0.000 0.000 0.500
Cu2 0.500 0.500 0.500
Pd1 0.141 0.641 0.500
Pd2 0.359 0.141 0.500
Pd3 0.641 0.859 0.500
Pd4 0.859 0.359 0.500
```

Summary:
Energy of formation from the pure elements: -0.25 eV/atom
Energy: -3.660 eV per atom
Crystal system: tetragonal
Energy above the most stable polymorph in this dataset: 8.4 kJ/mol of atoms

Entry 10:
Entry from Alexandria: an optimized crystal structure of Zn4CuPd5 (PBE-GGA).

Structure (CIF):
```
data_Zn4CuPd5
_symmetry_space_group_name_H-M 'P 1'
_symmetry_Int_Tables_number 1
_cell_length_a 3.119
_cell_length_b 3.119
_cell_length_c 14.742
_cell_angle_alpha 90.00
_cell_angle_beta 90.00
_cell_angle_gamma 90.00
loop_
_symmetry_equiv_pos_as_xyz
'x,y,z'
loop_
_atom_site_label
_atom_site_fract_x
_atom_site_fract_y
_atom_site_fract_z
Zn1 0.000 0.000 0.101
Zn2 0.000 0.000 0.304
Zn3 0.000 0.000 0.696
Zn4 0.000 0.000 0.899
Cu1 0.000 0.000 0.500
Pd1 0.500 0.500 0.000
Pd2 0.500 0.500 0.201
Pd3 0.500 0.500 0.401
Pd4 0.500 0.500 0.599
Pd5 0.500 0.500 0.799
```

Summary:
Energy of formation from the pure elements: -0.49 eV/atom
Energy: -4.003 eV per atom
Crystal system: tetragonal

Entry 11:
Entry from Alexandria: an optimized crystal structure of Zn9Cu2Pd (PBE-GGA).

Structure (CIF):
```
data_Zn9Cu2Pd
_symmetry_space_group_name_H-M 'P 1'
_symmetry_Int_Tables_number 1
_cell_length_a 4.177
_cell_length_b 6.756
_cell_length_c 7.050
_cell_angle_alpha 77.68
_cell_angle_beta 72.91
_cell_angle_gamma 72.22
loop_
_symmetry_equiv_pos_as_xyz
'x,y,z'
loop_
_atom_site_label
_atom_site_fract_x
_atom_site_fract_y
_atom_site_fract_z
Zn1 0.000 0.000 0.000
Zn2 0.051 0.657 0.240
Zn3 0.175 0.275 0.375
Zn4 0.275 0.575 0.877
Zn5 0.430 0.896 0.243
Zn6 0.570 0.104 0.757
Zn7 0.725 0.425 0.123
Zn8 0.825 0.725 0.625
Zn9 0.949 0.343 0.760
Cu1 0.217 0.941 0.624
Cu2 0.783 0.059 0.376
Pd1 0.500 0.500 0.500
```

Summary:
Energy of formation from the pure elements: -0.11 eV/atom
Energy: -2.178 eV per atom
Crystal system: triclinic

Entry 12:
Entry from Alexandria: an optimized crystal structure of Zn2CuPd2 (PBE-GGA).

Structure (CIF):
```
data_Zn2CuPd2
_symmetry_space_group_name_H-M 'P 1'
_symmetry_Int_Tables_number 1
_cell_length_a 5.355
_cell_length_b 5.355
_cell_length_c 6.848
_cell_angle_alpha 109.36
_cell_angle_beta 109.36
_cell_angle_gamma 51.39
loop_
_symmetry_equiv_pos_as_xyz
'x,y,z'
loop_
_atom_site_label
_atom_site_fract_x
_atom_site_fract_y
_atom_site_fract_z
Zn1 0.033 0.350 0.148
Zn2 0.350 0.033 0.648
Zn3 0.650 0.967 0.352
Zn4 0.967 0.650 0.852
Cu1 0.164 0.836 0.250
Cu2 0.836 0.164 0.750
Pd1 0.234 0.555 0.541
Pd2 0.445 0.766 0.959
Pd3 0.555 0.234 0.041
Pd4 0.766 0.445 0.459
```

Summary:
Energy of formation from the pure elements: -0.34 eV/atom
Energy: -3.748 eV per atom
Crystal system: monoclinic
Energy above the most stable polymorph in this dataset: 0.0 kJ/mol of atoms

Please write out number 12 again, unchanged.
Entry from Alexandria: an optimized crystal structure of Zn2CuPd2 (PBE-GGA).

Structure (CIF):
```
data_Zn2CuPd2
_symmetry_space_group_name_H-M 'P 1'
_symmetry_Int_Tables_number 1
_cell_length_a 5.355
_cell_length_b 5.355
_cell_length_c 6.848
_cell_angle_alpha 109.36
_cell_angle_beta 109.36
_cell_angle_gamma 51.39
loop_
_symmetry_equiv_pos_as_xyz
'x,y,z'
loop_
_atom_site_label
_atom_site_fract_x
_atom_site_fract_y
_atom_site_fract_z
Zn1 0.033 0.350 0.148
Zn2 0.350 0.033 0.648
Zn3 0.650 0.967 0.352
Zn4 0.967 0.650 0.852
Cu1 0.164 0.836 0.250
Cu2 0.836 0.164 0.750
Pd1 0.234 0.555 0.541
Pd2 0.445 0.766 0.959
Pd3 0.555 0.234 0.041
Pd4 0.766 0.445 0.459
```

Summary:
Energy of formation from the pure elements: -0.34 eV/atom
Energy: -3.748 eV per atom
Crystal system: monoclinic
Energy above the most stable polymorph in this dataset: 0.0 kJ/mol of atoms